Entry i
VASP calculation (SCAN) on Cd2Ag at its PBEsol-relaxed geometry.

Lattice parameters (Å, degrees): 5.1815 5.1815 5.1815 145.50 134.17 58.60
Atoms (fractional coordinates):
1 Cd 0.1634 0.1634 0.0000
2 Cd 0.8366 0.8366 0.0000
3 Ag 0.5000 0.5000 0.0000

Calculated values
As for the total magnetization: 0.00 μB per formula unit. The calculation puts the volume at 18.68 Å³ per atom. As for the density of states at the Fermi level: 0.2539 states/eV/atom. Its calculated density is 9860 kg/m³.



Entry ii
VASP calculation (SCAN) on Cd2Ag at its PBEsol-relaxed geometry.

Lattice parameters (Å, degrees): 5.4411 5.4411 5.4411 104.30 104.30 120.39
Atoms (fractional coordinates):
1 Cd 0.1563 0.6563 0.8125
2 Cd 0.3437 0.1563 0.5000
3 Cd 0.6563 0.8437 0.5000
4 Cd 0.8437 0.3437 0.1875
5 Ag 0.2500 0.2500 0.0000
6 Ag 0.7500 0.7500 0.0000

Calculated values
As for the total magnetization: 0.00 μB per formula unit. The calculation puts the volume at 20.10 Å³ per atom. As for the density of states at the Fermi level: 0.3019 states/eV/atom. Its calculated density is 9164 kg/m³.



Entry iii
VASP calculation (SCAN) on Cd2Ag at its PBEsol-relaxed geometry.

Lattice parameters (Å, degrees): 13.5633 13.5633 13.5633 167.49 167.49 17.73
Atoms (fractional coordinates):
1 Cd 0.2980 0.5480 0.7500
2 Cd 0.4520 0.7020 0.7500
3 Cd 0.5480 0.2980 0.2500
4 Cd 0.7020 0.4520 0.2500
5 Ag 0.1250 0.8750 0.2500
6 Ag 0.8750 0.1250 0.7500

Calculated values
As for the total magnetization: 0.00 μB per formula unit. The calculation puts the volume at 19.51 Å³ per atom. As for the density of states at the Fermi level: 0.3016 states/eV/atom. Its calculated density is 9439 kg/m³.



Entry iv
VASP calculation (SCAN) on Cd2Ag at its PBEsol-relaxed geometry.

Lattice parameters (Å, degrees): 5.6557 5.6557 6.9559 103.36 103.36 31.41
Atoms (fractional coordinates):
1 Cd 0.0000 0.0000 0.0000
2 Cd 0.0531 0.0531 0.5997
3 Cd 0.3801 0.3801 0.2783
4 Cd 0.7217 0.7217 0.9339
5 Ag 0.3313 0.3313 0.6622
6 Ag 0.6635 0.6635 0.3298

Calculated values
As for the total magnetization: 0.00 μB per formula unit. The calculation puts the volume at 18.76 Å³ per atom. As for the density of states at the Fermi level: 0.2696 states/eV/atom. Its calculated density is 9817 kg/m³.



Preferred: entry iv; penalty for the next structure: 1.2 kJ/mol of atoms.



Entry i
VASP calculation (SCAN) on Cd2Ag at its PBEsol-relaxed geometry.

Lattice parameters (Å, degrees): 4.7529 4.7529 2.9571 90.00 90.00 90.00
Atoms (fractional coordinates):
1 Cd 0.0000 0.5000 0.0000
2 Cd 0.5000 0.0000 0.0000
3 Ag 0.0000 0.0000 0.5000

Calculated values
As for the total magnetization: 0.00 μB per formula unit. The calculation puts the volume at 22.27 Å³ per atom. As for the density of states at the Fermi level: 0.2848 states/eV/atom. Its calculated density is 8270 kg/m³.



Entry ii
VASP calculation (SCAN) on Cd2Ag at its PBEsol-relaxed geometry.

Lattice parameters (Å, degrees): 6.9092 6.9092 4.4738 90.00 90.00 148.28
Atoms (fractional coordinates):
1 Cd 0.0780 0.9220 0.7500
2 Cd 0.2495 0.7505 0.2500
3 Cd 0.7505 0.2495 0.7500
4 Cd 0.9220 0.0780 0.2500
5 Ag 0.4146 0.5854 0.7500
6 Ag 0.5854 0.4146 0.2500

Calculated values
As for the total magnetization: 0.00 μB per formula unit. The calculation puts the volume at 18.71 Å³ per atom. As for the density of states at the Fermi level: 0.2053 states/eV/atom. Its calculated density is 9840 kg/m³.



Preferred: entry ii; penalty for the next structure: 4.0 kJ/mol of atoms.



Entry i
VASP calculation (SCAN) on Cd2Ag at its PBEsol-relaxed geometry.

Lattice parameters (Å, degrees): 5.6831 5.6831 6.9772 103.63 103.63 30.96
Atoms (fractional coordinates):
1 Cd 0.1365 0.1365 0.0310
2 Cd 0.1853 0.1853 0.6308
3 Cd 0.8147 0.8147 0.3692
4 Cd 0.8635 0.8635 0.9690
5 Ag 0.4708 0.4708 0.6946
6 Ag 0.5292 0.5292 0.3054

Calculated values
As for the total magnetization: 0.00 μB per formula unit. The calculation puts the volume at 18.74 Å³ per atom. As for the density of states at the Fermi level: 0.2441 states/eV/atom. Its calculated density is 9828 kg/m³.



Entry ii
VASP calculation (SCAN) on Cd2Ag at its PBEsol-relaxed geometry.

Lattice parameters (Å, degrees): 4.7705 4.7705 5.7457 90.00 90.00 120.00
Atoms (fractional coordinates):
1 Cd 0.0000 0.0000 0.0000
2 Cd 0.0000 0.0000 0.5000
3 Cd 0.3333 0.6667 0.2500
4 Cd 0.6667 0.3333 0.7500
5 Ag 0.3333 0.6667 0.7500
6 Ag 0.6667 0.3333 0.2500

Calculated values
As for the total magnetization: 0.00 μB per formula unit. The calculation puts the volume at 18.87 Å³ per atom. As for the density of states at the Fermi level: 0.2047 states/eV/atom. Its calculated density is 9757 kg/m³.



Preferred: entry i; penalty for the next structure: 4.0 kJ/mol of atoms.



Entry i
VASP calculation (SCAN) on Cd2Ag at its PBEsol-relaxed geometry.

Lattice parameters (Å, degrees): 4.7882 4.7882 2.8645 90.00 90.00 120.00
Atoms (fractional coordinates):
1 Cd 0.3333 0.6667 0.0000
2 Cd 0.6667 0.3333 0.0000
3 Ag 0.0000 0.0000 0.5000

Calculated values
As for the total magnetization: 0.00 μB per formula unit. The calculation puts the volume at 18.96 Å³ per atom. As for the density of states at the Fermi level: 0.2430 states/eV/atom. Its calculated density is 9714 kg/m³.



Entry ii
VASP calculation (SCAN) on Cd2Ag at its PBEsol-relaxed geometry.

Lattice parameters (Å, degrees): 5.2470 4.7360 9.0365 90.00 90.00 90.00
Atoms (fractional coordinates):
1 Cd 0.1501 0.2500 0.1696
2 Cd 0.1695 0.2500 0.5080
3 Cd 0.3305 0.7500 0.0080
4 Cd 0.3499 0.7500 0.6696
5 Cd 0.6501 0.2500 0.3304
6 Cd 0.6695 0.2500 0.9920
7 Cd 0.8305 0.7500 0.4920
8 Cd 0.8499 0.7500 0.8304
9 Ag 0.1779 0.2500 0.8335
10 Ag 0.3221 0.7500 0.3335
11 Ag 0.6779 0.2500 0.6665
12 Ag 0.8221 0.7500 0.1665

Calculated values
As for the total magnetization: 0.00 μB per formula unit. The calculation puts the volume at 18.71 Å³ per atom. As for the density of states at the Fermi level: 0.3065 states/eV/atom. Its calculated density is 9841 kg/m³.



Preferred: entry ii; penalty for the next structure: 8.2 kJ/mol of atoms.



Entry i
VASP calculation (SCAN) on Cd4Ag3 at its PBEsol-relaxed geometry.

Lattice parameters (Å, degrees): 11.7371 11.7371 11.7371 163.57 163.57 23.31
Atoms (fractional coordinates):
1 Cd 0.0700 0.0700 0.0000
2 Cd 0.3511 0.3511 0.0000
3 Cd 0.6489 0.6489 0.0000
4 Cd 0.9300 0.9300 0.0000
5 Ag 0.2169 0.2169 0.0000
6 Ag 0.5000 0.5000 0.0000
7 Ag 0.7831 0.7831 0.0000

Calculated values
As for the total magnetization: 0.00 μB per formula unit. The calculation puts the volume at 18.47 Å³ per atom. As for the density of states at the Fermi level: 0.2512 states/eV/atom. Its calculated density is 9931 kg/m³.



Entry ii
VASP calculation (SCAN) on Cd4Ag3 at its PBEsol-relaxed geometry.

Lattice parameters (Å, degrees): 5.3970 5.3970 5.3208 90.00 90.00 120.00
Atoms (fractional coordinates):
1 Cd 0.0000 0.0000 0.2474
2 Cd 0.0000 0.0000 0.7526
3 Cd 0.3333 0.6667 0.0000
4 Cd 0.6667 0.3333 0.0000
5 Ag 0.0000 0.5000 0.5000
6 Ag 0.5000 0.0000 0.5000
7 Ag 0.5000 0.5000 0.5000

Calculated values
As for the total magnetization: 0.00 μB per formula unit. The calculation puts the volume at 19.17 Å³ per atom. As for the density of states at the Fermi level: 0.4059 states/eV/atom. Its calculated density is 9567 kg/m³.



Preferred: entry i; penalty for the next structure: 4.0 kJ/mol of atoms.